# 1
LiDy2Ga2Pd5 | PBE | optimized geometry

Output
The value obtained for the formation enthalpy at 0 K is -0.690 eV per atom. The crystal system is tetragonal.

Cell and atoms, written as extended XYZ:
```
20
Lattice="3.730 0.000 0.000 0.000 9.817 0.000 0.000 0.000 9.817" Properties=species:S:1:pos:R:3 pbc="T T T"
Pd 1.865 6.924 4.268
Pd 1.865 7.801 9.176
Pd 1.865 4.268 2.892
Pd 1.865 9.176 2.016
Pd 1.865 4.908 0.000
Pd 1.865 0.000 4.908
Pd 1.865 5.549 6.924
Pd 1.865 2.016 0.641
Pd 1.865 0.641 7.801
Pd 1.865 2.892 5.549
Ga 0.000 3.697 1.211
Ga 0.000 6.119 8.606
Ga 0.000 8.606 3.697
Ga 0.000 1.211 6.119
Li 0.000 0.000 0.000
Li 0.000 4.908 4.908
Dy 0.000 6.632 1.724
Dy 0.000 8.093 6.632
Dy 0.000 3.184 8.093
Dy 0.000 1.724 3.184
```



# 2
Na3Mg2TiS6 | PBE | optimized geometry

Output
As for the raw total energy: -4.51 eV/atom. The crystal system is monoclinic.

Cell and atoms, written as extended XYZ:
```
12
Lattice="-3.643 -4.936 1.742 4.724 1.980 3.799 -4.567 5.169 1.197" Properties=species:S:1:pos:R:3 pbc="T T T"
Na -1.743 1.106 3.369
Na 1.023 3.392 4.049
Na -4.508 -1.179 2.689
S -3.334 3.349 2.305
S -1.435 2.889 5.539
S -2.050 -0.677 1.199
S 0.605 1.518 1.852
S -0.151 -1.136 4.433
S -4.090 0.695 4.886
Mg 1.935 -0.326 3.113
Mg -0.854 -2.631 2.428
Ti 0.000 0.000 0.000
```